AcCd3, optimized geometry, DFT PBE; DOS(E_F) = 1.265 states/eV/atom; formation energy from the elements = -0.1752 eV/atom; raw total energy = -1.8886 eV/atom
1.0
4.825 0.000 0.000
0.000 4.825 0.000
0.000 0.000 5.061
Ac Cd
1 3
direct
0.000 0.000 0.000
0.000 0.500 0.500
0.500 0.000 0.500
0.500 0.500 0.000



AcHfZnN3, optimized geometry, DFT PBE; formation energy from raw total energies = -5.85 eV/f.u.; raw total energy = -7.6940 eV/atom
1.0
7.207 0.000 0.000
0.000 3.422 0.000
-2.018 0.000 7.307
Ac Hf Zn N
2 2 2 6
direct
0.208 0.250 0.233
0.792 0.750 0.767
0.337 0.750 0.857
0.663 0.250 0.143
0.105 0.250 0.601
0.895 0.750 0.399
0.140 0.250 0.873
0.212 0.750 0.519
0.450 0.750 0.145
0.550 0.250 0.855
0.788 0.250 0.481
0.860 0.750 0.127



LiZrTeS2, optimized geometry, DFT PBE; DOS(E_F) = 0.905 states/eV/atom; formation energy from raw total energies = -0.27 eV/f.u.; raw total energy = -4.4255 eV/atom
1.0
4.384 0.000 0.000
0.000 4.384 0.000
0.000 0.000 5.188
Li Zr Te S
1 1 1 2
direct
0.000 0.000 0.000
0.500 0.500 0.500
0.000 0.000 0.500
0.000 0.500 0.000
0.500 0.000 0.000



NdGe2IrPd, optimized geometry, DFT PBE; DOS(E_F) = 1.035 states/eV/atom; formation energy from the elements = -0.7387 eV/atom; raw total energy = -6.3500 eV/atom
1.0
-2.122 2.122 5.235
2.122 -2.122 5.235
2.122 2.122 -5.235
Nd Ge Ir Pd
1 2 1 1
direct
0.000 0.000 0.000
0.378 0.378 0.000
0.622 0.622 0.000
0.250 0.750 0.500
0.750 0.250 0.500



Li3PmSe4O12, optimized geometry, DFT PBE; DOS(E_F) = 0.210 states/eV/atom; formation energy from raw total energies = -21.46 eV/f.u.; raw total energy = -5.2694 eV/atom
1.0
5.382 3.107 2.617
-5.382 3.107 2.617
0.000 -6.214 2.617
Li Pm Se O
3 1 4 12
direct
0.000 0.576 0.424
0.424 0.000 0.576
0.576 0.424 0.000
0.000 0.000 0.000
0.098 0.500 0.902
0.500 0.500 0.500
0.500 0.902 0.098
0.902 0.098 0.500
0.005 0.244 0.336
0.059 0.941 0.500
0.244 0.336 0.005
0.336 0.005 0.244
0.347 0.653 0.500
0.500 0.059 0.941
0.500 0.347 0.653
0.653 0.500 0.347
0.664 0.756 0.995
0.756 0.995 0.664
0.941 0.500 0.059
0.995 0.664 0.756



Rb4CuS2, optimized geometry, DFT PBE; DOS(E_F) = 0.354 states/eV/atom; formation energy from raw total energies = -4.83 eV/f.u.; raw total energy = -3.0069 eV/atom
1.0
2.895 1.672 9.352
-2.895 1.672 9.352
0.000 -3.343 9.352
Rb Cu S
4 1 2
direct
0.114 0.114 0.114
0.296 0.296 0.296
0.704 0.704 0.704
0.886 0.886 0.886
0.500 0.500 0.500
0.423 0.423 0.423
0.577 0.577 0.577



Mn3GeCl, optimized geometry, DFT PBE; DOS(E_F) = 0.904 states/eV/atom; formation energy from raw total energies = 2.94 eV/f.u.; raw total energy = -6.2075 eV/atom
1.0
5.015 0.000 0.000
0.000 5.015 0.000
0.000 0.000 5.015
Mn Ge Cl
3 1 1
direct
0.000 0.000 0.500
0.000 0.500 0.000
0.500 0.000 0.000
0.000 0.000 0.000
0.500 0.500 0.500



NiS2Cl8, optimized geometry, DFT PBE; DOS(E_F) = 0.327 states/eV/atom; formation energy from raw total energies = -1.78 eV/f.u.; raw total energy = -2.7805 eV/atom
1.0
5.988 -3.460 0.000
5.988 3.460 0.000
-3.045 0.000 8.821
Ni S Cl
1 2 8
direct
0.000 0.000 0.000
0.117 0.117 0.236
0.883 0.883 0.764
0.128 0.128 0.886
0.210 0.578 0.706
0.290 0.290 0.255
0.422 0.790 0.294
0.578 0.210 0.706
0.710 0.710 0.745
0.790 0.422 0.294
0.872 0.872 0.114



Nd3Ho4Er8, optimized geometry, DFT PBE; DOS(E_F) = 1.983 states/eV/atom; formation energy from the elements = 0.3991 eV/atom; raw total energy = -4.2087 eV/atom
1.0
6.663 -6.404 0.000
6.663 6.404 0.000
-3.360 0.000 5.793
Nd Ho Er
3 4 8
direct
0.000 0.000 0.000
0.000 0.500 0.000
0.500 0.000 0.000
0.000 0.500 0.500
0.500 0.000 0.500
0.500 0.500 0.000
0.500 0.500 0.500
0.139 0.861 0.500
0.233 0.233 0.966
0.238 0.238 0.492
0.248 0.752 0.000
0.752 0.248 0.000
0.762 0.762 0.508
0.767 0.767 0.034
0.861 0.139 0.500



La2TaHg, optimized geometry, DFT PBE; DOS(E_F) = 1.387 states/eV/atom; formation energy from the elements = 0.3537 eV/atom; raw total energy = -5.1486 eV/atom
1.0
0.000 3.698 3.698
3.698 0.000 3.698
3.698 3.698 0.000
La Ta Hg
2 1 1
direct
0.000 0.000 0.000
0.250 0.250 0.250
0.750 0.750 0.750
0.500 0.500 0.500



NaTl3Hg3, optimized geometry, DFT PBE; DOS(E_F) = 0.466 states/eV/atom; formation energy from the elements = -0.0352 eV/atom; raw total energy = -1.3671 eV/atom
1.0
5.038 2.909 2.364
-5.038 2.909 2.364
0.000 -5.817 2.364
Na Tl Hg
1 3 3
direct
0.000 0.000 0.000
0.184 0.545 0.545
0.545 0.184 0.545
0.545 0.545 0.184
0.009 0.009 0.520
0.009 0.520 0.009
0.520 0.009 0.009



Ca2CuSe, optimized geometry, DFT PBE; DOS(E_F) = 0.870 states/eV/atom; formation energy from raw total energies = -2.59 eV/f.u.; raw total energy = -3.5442 eV/atom
1.0
-3.819 3.819 3.941
3.819 -3.819 3.941
3.819 3.819 -3.941
Ca Cu Se
4 2 2
direct
0.119 0.625 0.994
0.375 0.369 0.494
0.631 0.125 0.006
0.875 0.881 0.506
0.250 0.750 0.500
0.500 0.500 0.000
0.000 0.000 0.000
0.750 0.250 0.500



YReTe2C, optimized geometry, DFT PBE; DOS(E_F) = 1.286 states/eV/atom; formation energy from raw total energies = 10.04 eV/f.u.; raw total energy = -4.8762 eV/atom
1.0
5.721 0.000 0.000
0.000 5.721 0.000
0.000 0.000 4.210
Y Re Te C
1 1 2 1
direct
0.000 0.000 0.000
0.500 0.500 0.500
0.000 0.500 0.000
0.500 0.000 0.000
0.000 0.000 0.500



TaTcMo2, optimized geometry, DFT PBE; DOS(E_F) = 0.787 states/eV/atom; formation energy from the elements = 0.2437 eV/atom; raw total energy = -10.7265 eV/atom
1.0
1.419 0.819 9.377
-1.419 0.819 9.377
0.000 -1.638 9.377
Ta Tc Mo
1 1 2
direct
0.000 0.000 0.000
0.751 0.751 0.751
0.244 0.244 0.244
0.493 0.493 0.493